[1]
LuCo4Re: optimized geometry, PBE-GGA.

Geometry as CIF:
```
data_LuCo4Re
_cell_length_a 6.859
_cell_length_b 6.859
_cell_length_c 6.859
_cell_angle_alpha 90.00
_cell_angle_beta 90.00
_cell_angle_gamma 90.00
_symmetry_space_group_name_H-M 'F -4 3 m'
_symmetry_Int_Tables_number 216
_symmetry_space_group_name_Hall 'F -4 2 3'
loop_
_atom_site_label
_atom_site_fract_x
_atom_site_fract_y
_atom_site_fract_z
_atom_site_occupancy
Lu1 0.000 0.000 0.000 1
Co1 0.124 0.124 0.624 1
Re1 0.250 0.250 0.250 1
```

## Properties
**V**: 13.447 Å³/atom
**E_form**: 0.021 eV/atom
**Spin magnetization**: 27.5 Bohr magnetons per cell

---

[2]
LuZrCoRe: optimized geometry, PBE-GGA.

Geometry as CIF:
```
data_LuZrCoRe
_cell_length_a 6.567
_cell_length_b 6.567
_cell_length_c 6.567
_cell_angle_alpha 90.00
_cell_angle_beta 90.00
_cell_angle_gamma 90.00
_symmetry_space_group_name_H-M 'F -4 3 m'
_symmetry_Int_Tables_number 216
_symmetry_space_group_name_Hall 'F -4 2 3'
loop_
_atom_site_label
_atom_site_fract_x
_atom_site_fract_y
_atom_site_fract_z
_atom_site_occupancy
Lu1 0.000 0.000 0.000 1
Zr1 0.000 0.000 0.500 1
Co1 0.250 0.250 0.750 1
Re1 0.250 0.250 0.250 1
```

## Properties
**V**: 17.703 Å³/atom
**E_form**: -0.112 eV/atom
**Spin magnetization**: 0.0 Bohr magnetons per cell

---

Question: What is the E_form in the second record?
Answer: -0.112 eV/atom

---

Copy entry 2 word for word.
LuZrCoRe: optimized geometry, PBE-GGA.

Geometry as CIF:
```
data_LuZrCoRe
_cell_length_a 6.567
_cell_length_b 6.567
_cell_length_c 6.567
_cell_angle_alpha 90.00
_cell_angle_beta 90.00
_cell_angle_gamma 90.00
_symmetry_space_group_name_H-M 'F -4 3 m'
_symmetry_Int_Tables_number 216
_symmetry_space_group_name_Hall 'F -4 2 3'
loop_
_atom_site_label
_atom_site_fract_x
_atom_site_fract_y
_atom_site_fract_z
_atom_site_occupancy
Lu1 0.000 0.000 0.000 1
Zr1 0.000 0.000 0.500 1
Co1 0.250 0.250 0.750 1
Re1 0.250 0.250 0.250 1
```

## Properties
**V**: 17.703 Å³/atom
**E_form**: -0.112 eV/atom
**Spin magnetization**: 0.0 Bohr magnetons per cell

---

Question: Which formula does entry 2 have?
Answer: LuZrCoRe